P) An optimized crystal structure of Pa2CoGe, computed with PBE.

```
Pa2CoGe
1.0
5.909 0.000 0.000
0.000 3.698 0.000
-2.865 0.000 7.479
Pa Co Ge
4 2 2
Direct
0.174 0.250 0.389 Pa
0.258 0.750 0.050 Pa
0.742 0.250 0.950 Pa
0.826 0.750 0.611 Pa
0.153 0.250 0.789 Co
0.847 0.750 0.211 Co
0.372 0.750 0.701 Ge
0.628 0.250 0.299 Ge
```

## Properties
Total magnetic moment = 0.000 μB per atom

Q) An optimized crystal structure of Pa2CoGe, computed with PBE.

```
Pa2CoGe
1.0
3.625 0.000 0.000
0.000 3.625 0.000
0.000 0.000 6.041
Pa Co Ge
2 1 1
Direct
0.000 0.000 0.242 Pa
0.000 0.000 0.758 Pa
0.500 0.500 0.000 Co
0.500 0.500 0.500 Ge
```

## Properties
Total magnetic moment = 0.000 μB per atom

Most stable structure, least stable structure: P), Q).

P) An optimized crystal structure of Pa3Co2Ge4, computed with PBE.

```
Pa3Co2Ge4
1.0
-1.884 3.520 6.759
1.884 -3.520 6.759
1.884 3.520 -6.759
Pa Co Ge
3 2 4
Direct
0.000 0.000 0.000 Pa
0.363 0.863 0.500 Pa
0.637 0.137 0.500 Pa
0.322 0.500 0.822 Co
0.678 0.500 0.178 Co
0.017 0.341 0.676 Ge
0.335 0.659 0.676 Ge
0.665 0.341 0.324 Ge
0.983 0.659 0.324 Ge
```

## Properties
Total magnetic moment = 0.000 μB per atom

Q) An optimized crystal structure of Pa3Co2Ge4, computed with PBE.

```
Pa3Co2Ge4
1.0
5.289 -2.093 0.000
5.289 2.093 0.000
-1.604 0.000 7.785
Pa Co Ge
3 2 4
Direct
0.000 0.000 0.000 Pa
0.344 0.344 0.338 Pa
0.656 0.656 0.662 Pa
0.422 0.422 0.735 Co
0.578 0.578 0.265 Co
0.075 0.075 0.393 Ge
0.277 0.277 0.923 Ge
0.723 0.723 0.077 Ge
0.925 0.925 0.607 Ge
```

## Properties
Total magnetic moment = 0.000 μB per atom

Most stable structure, least stable structure: Q), P).

P) An optimized crystal structure of Pa3Co4Ge2, computed with PBE.

```
Pa3Co4Ge2
1.0
-2.445 3.348 4.936
2.445 -3.348 4.936
2.445 3.348 -4.936
Pa Co Ge
3 4 2
Direct
0.000 0.000 0.000 Pa
0.345 0.845 0.500 Pa
0.655 0.155 0.500 Pa
0.063 0.253 0.810 Co
0.442 0.253 0.190 Co
0.558 0.747 0.810 Co
0.937 0.747 0.190 Co
0.291 0.500 0.791 Ge
0.709 0.500 0.209 Ge
```

## Properties
Total magnetic moment = 0.000 μB per atom

Q) An optimized crystal structure of Pa3Co4Ge2, computed with PBE.

```
Pa3Co4Ge2
1.0
4.535 -1.983 0.000
4.535 1.983 0.000
-3.333 0.000 8.420
Pa Co Ge
3 4 2
Direct
0.000 0.000 0.000 Pa
0.090 0.090 0.395 Pa
0.910 0.910 0.605 Pa
0.354 0.354 0.372 Co
0.355 0.355 0.094 Co
0.645 0.645 0.906 Co
0.646 0.646 0.628 Co
0.259 0.259 0.795 Ge
0.741 0.741 0.205 Ge
```

## Properties
Total magnetic moment = 0.000 μB per atom

Most stable structure, least stable structure: Q), P).

P) An optimized crystal structure of Pa3Co2Ge7, computed with PBE.

```
Pa3Co2Ge7
1.0
-2.031 2.031 13.637
2.031 -2.031 13.637
2.031 2.031 -13.637
Pa Co Ge
3 2 7
Direct
0.000 0.000 0.000 Pa
0.167 0.167 0.000 Pa
0.833 0.833 0.000 Pa
0.356 0.356 0.000 Co
0.644 0.644 0.000 Co
0.085 0.585 0.500 Ge
0.272 0.272 0.000 Ge
0.415 0.915 0.500 Ge
0.500 0.500 0.000 Ge
0.585 0.085 0.500 Ge
0.728 0.728 0.000 Ge
0.915 0.415 0.500 Ge
```

## Properties
Total magnetic moment = 0.000 μB per atom

Q) An optimized crystal structure of Pa3Co2Ge7, computed with PBE.

```
Pa3Co2Ge7
1.0
4.193 0.000 0.000
0.000 4.181 0.000
-2.089 0.000 12.488
Pa Co Ge
3 2 7
Direct
0.000 0.000 0.000 Pa
0.314 0.500 0.630 Pa
0.686 0.500 0.370 Pa
0.127 0.000 0.257 Co
0.873 0.000 0.743 Co
0.090 0.500 0.177 Ge
0.222 0.000 0.443 Ge
0.412 0.000 0.824 Ge
0.500 0.500 0.000 Ge
0.588 0.000 0.176 Ge
0.778 0.000 0.557 Ge
0.910 0.500 0.823 Ge
```

## Properties
Total magnetic moment = 0.001 μB per atom

Most stable structure, least stable structure: Q), P).

P) An optimized crystal structure of Pa3Co4Ge4, computed with PBE.

```
Pa3Co4Ge4
1.0
-1.913 2.094 11.758
1.913 -2.094 11.758
1.913 2.094 -11.758
Pa Co Ge
3 4 4
Direct
0.000 0.000 0.000 Pa
0.348 0.848 0.500 Pa
0.652 0.152 0.500 Pa
0.094 0.594 0.500 Co
0.254 0.254 0.000 Co
0.746 0.746 0.000 Co
0.906 0.406 0.500 Co
0.195 0.695 0.500 Ge
0.447 0.447 0.000 Ge
0.553 0.553 0.000 Ge
0.805 0.305 0.500 Ge
```

## Properties
Total magnetic moment = 0.058 μB per atom

Q) An optimized crystal structure of Pa3Co4Ge4, computed with PBE.

```
Pa3Co4Ge4
1.0
-1.952 3.405 6.840
1.952 -3.405 6.840
1.952 3.405 -6.840
Pa Co Ge
3 4 4
Direct
0.000 0.000 0.000 Pa
0.380 0.880 0.500 Pa
0.620 0.120 0.500 Pa
0.224 0.224 0.000 Co
0.300 0.500 0.800 Co
0.700 0.500 0.200 Co
0.776 0.776 0.000 Co
0.024 0.332 0.692 Ge
0.360 0.668 0.692 Ge
0.640 0.332 0.308 Ge
0.976 0.668 0.308 Ge
```

## Properties
Total magnetic moment = 0.000 μB per atom

Most stable structure, least stable structure: P), Q).